1.
A plane-wave DFT calculation with PBE-GGA was carried out for a relaxed structure of Ta2SbTe.

Cell lengths 3.1721, 3.1721, 9.0823 Å; angles 90.00, 90.00, 112.95 degrees
Last column: nearest neighbours and their distance in Å.
Sites, in units of the cell vectors:
Sb 0.5000 0.5000 0.7500  4 Ta 2.85, 4 Sb 3.17
Ta 0.0000 0.0000 0.9978  2 Sb 2.85, 2 Te 2.88, 4 Ta 3.17
Ta 0.0000 0.0000 0.5022  2 Sb 2.85, 2 Te 2.88, 4 Ta 3.17
Te 0.5000 0.5000 0.2500  4 Ta 2.88, 4 Te 3.17

Results
space group: Cmmm
formation energy without anion corrections: 0.52 eV/atom
relative energy among the computed polymorphs: 0.5804 eV/atom
D(E_F): 3.5 states/eV per cell

---

2.
A plane-wave DFT calculation with PBE-GGA was carried out for a relaxed structure of YCu2.

Cell lengths 6.7738, 6.7738, 4.6071 Å; angles 90.00, 90.00, 120.00 degrees
Last column: nearest neighbours and their distance in Å.
Sites, in units of the cell vectors:
Y 0.3333 0.6667 0.0000  3 Cu 2.72
Y 0.6667 0.3333 0.0000  3 Cu 2.72
Y 0.0000 0.0000 0.5000  9 Cu 2.74-2.88
Cu 0.2202 0.0000 0.0000  4 Cu 2.58-2.69, 4 Y 2.72-2.74
Cu 0.0000 0.2202 0.0000  4 Cu 2.58-2.69, 4 Y 2.72-2.74
Cu 0.7798 0.7798 0.0000  4 Cu 2.58-2.69, 4 Y 2.72-2.74
Cu 0.4258 0.0000 0.5000  2 Cu 2.69, 1 Y 2.88
Cu 0.0000 0.4258 0.5000  2 Cu 2.69, 1 Y 2.88
Cu 0.5742 0.5742 0.5000  2 Cu 2.69, 1 Y 2.88

Results
space group: P-62m
DFT formation energy: 7 kJ/mol of formula units
D(E_F): 7.3 states/eV per cell

---

3.
A plane-wave DFT calculation with PBE-GGA was carried out for a relaxed structure of Tb2Ga2Pb.

Cell lengths 3.5558, 4.4135, 7.9172 Å; angles 106.18, 90.00, 90.00 degrees
Last column: nearest neighbours and their distance in Å.
Sites, in units of the cell vectors:
Tb 0.5000 0.6266 0.2531  6 Ga 3.07-3.13, 4 Pb 3.43
Tb 0.5000 0.3734 0.7469  6 Ga 3.07-3.13, 4 Pb 3.43
Ga 0.0000 0.2040 0.4081  2 Ga 2.61
Ga 0.0000 0.7960 0.5919  2 Ga 2.61
Pb 0.0000 0.0000 0.0000  2 Ga 3.10, 8 Tb 3.43

Results
space group: Cmmm
DFT formation energy: -280 kJ/mol of formula units
relative energy among the computed polymorphs: 0.0000 eV/atom
D(E_F): 1.2 states/eV per cell

---

4.
A plane-wave DFT calculation with PBE-GGA was carried out for a relaxed structure of Sr2TcPb.

Cell lengths 11.0179, 11.0179, 8.2378 Å; angles 48.03, 48.03, 90.00 degrees
Last column: nearest neighbours and their distance in Å.
Sites, in units of the cell vectors:
Pb 0.0000 0.0000 0.0000  2 Tc 2.68
Pb 0.7500 0.2500 0.5000  2 Tc 2.68
Sr 0.4584 0.1250 0.2500  2 Tc 2.98
Sr 0.2916 0.6250 0.2500  2 Tc 2.98
Sr 0.3750 0.5416 0.7500  2 Tc 2.98
Sr 0.8750 0.7084 0.7500  2 Tc 2.98
Tc 0.5000 0.5000 0.0000  2 Pb 2.68, 4 Sr 2.98
Tc 0.2500 0.7500 0.5000  2 Pb 2.68, 4 Sr 2.98

Results
space group: I-42d
DFT formation energy: 176 kJ/mol of formula units
D(E_F): 7.6 states/eV per cell

---

5.
A plane-wave DFT calculation with PBE-GGA was carried out for a relaxed structure of PaTiNbMo.

Cell lengths 4.7227, 4.7227, 4.7227 Å; angles 60.00, 60.00, 60.00 degrees
Last column: nearest neighbours and their distance in Å.
Sites, in units of the cell vectors:
Mo 0.0000 0.0000 0.0000  4 Nb 2.89, 4 Pa 2.89
Pa 0.7500 0.7500 0.7500  4 Ti 2.89, 4 Mo 2.89
Nb 0.2500 0.2500 0.2500  4 Mo 2.89, 4 Ti 2.89
Ti 0.5000 0.5000 0.5000  4 Nb 2.89, 4 Pa 2.89

Results
space group: F-43m
DFT formation energy: 5 kJ/mol of formula units
relative energy among the computed polymorphs: 0.0822 eV/atom
D(E_F): 4.1 states/eV per cell

---

6.
A plane-wave DFT calculation with PBE-GGA was carried out for a relaxed structure of Sm3Dy3ScS8.

Cell lengths 7.8368, 7.8368, 7.8849 Å; angles 119.80, 90.00, 120.00 degrees
Last column: nearest neighbours and their distance in Å.
Sites, in units of the cell vectors:
Sm 0.0000 0.0000 0.0000  6 S 2.81-2.82
Sm 0.0000 0.5000 0.0000  6 S 2.81-2.82
Sm 0.5000 0.5000 0.0000  6 S 2.81-2.82
Dy 0.5000 0.0000 0.5000  6 S 2.74-2.75
Dy 0.5000 0.5000 0.5000  6 S 2.74-2.75
Dy 0.0000 0.5000 0.5000  6 S 2.74-2.75
Sc 0.0000 0.0000 0.5000  6 S 2.67
S 0.2531 0.5062 0.2593  3 Dy 2.74, 3 Sm 2.81
S 0.7469 0.4938 0.7407  3 Dy 2.74, 3 Sm 2.81
S 0.7595 0.5190 0.2655  1 Sc 2.67, 2 Dy 2.75, 2 Sm 2.82
S 0.2405 0.4810 0.7345  1 Sc 2.67, 2 Dy 2.75, 2 Sm 2.82
S 0.7595 0.0060 0.2655  1 Sc 2.67, 2 Dy 2.75, 2 Sm 2.82
S 0.2405 0.9940 0.7345  1 Sc 2.67, 2 Dy 2.75, 2 Sm 2.82
S 0.2465 0.0060 0.2654  1 Sc 2.67, 2 Dy 2.75, 2 Sm 2.82
S 0.7535 0.9940 0.7346  1 Sc 2.67, 2 Dy 2.75, 2 Sm 2.82

Results
space group: R-3m
formation energy without anion corrections: -2.04 eV/atom
D(E_F): 7.0 states/eV per cell

---

7.
A plane-wave DFT calculation with PBE-GGA was carried out for a relaxed structure of Sc6Co2Pt.

Cell lengths 7.6282, 7.6282, 7.6282 Å; angles 107.21, 111.39, 109.84 degrees
Last column: nearest neighbours and their distance in Å.
Sites, in units of the cell vectors:
Sc 0.5460 0.7278 0.8182  3 Co 2.76, 1 Pt 2.85
Sc 0.4540 0.2722 0.1818  3 Co 2.76, 1 Pt 2.85
Sc 0.0904 0.2722 0.8182  3 Co 2.76, 1 Pt 2.85
Sc 0.9096 0.7278 0.1818  3 Co 2.76, 1 Pt 2.85
Sc 0.8053 0.7523 0.5576  2 Co 2.58-2.88, 2 Pt 2.80-2.83
Sc 0.1947 0.2477 0.4424  2 Co 2.58-2.88, 2 Pt 2.80-2.83
Sc 0.1947 0.7523 0.9471  2 Co 2.58-2.88, 2 Pt 2.80-2.83
Sc 0.8053 0.2477 0.0529  2 Co 2.58-2.88, 2 Pt 2.80-2.83
Sc 0.6954 0.3693 0.6738  3 Co 2.52-2.69
Sc 0.3046 0.6307 0.3262  3 Co 2.52-2.69
Sc 0.3046 0.9784 0.6738  3 Co 2.52-2.69
Sc 0.6954 0.0216 0.3262  3 Co 2.52-2.69
Co 0.5000 0.3786 0.8786  1 Co 2.20
Co 0.5000 0.6214 0.1214  1 Co 2.20
Co 0.6559 0.0000 0.6559  8 Sc 2.58-2.76, 1 Co 2.68
Co 0.3441 0.0000 0.3441  8 Sc 2.58-2.76, 1 Co 2.68
Pt 0.0000 0.5000 0.5000  8 Sc 2.83-3.10
Pt 0.0000 0.0000 0.0000  8 Sc 2.80-2.85, 2 Co 2.96

Results
space group: Immm
DFT formation energy: -440 kJ/mol of formula units
D(E_F): 21.5 states/eV per cell

---

8.
A plane-wave DFT calculation with PBE-GGA was carried out for a relaxed structure of Na2GePd2.

Cell lengths 3.6197, 3.6197, 7.6461 Å; angles 76.31, 76.31, 90.00 degrees
Last column: nearest neighbours and their distance in Å.
Sites, in units of the cell vectors:
Na 0.7500 0.2500 0.5000  4 Na 2.56
Na 0.2500 0.7500 0.5000  4 Na 2.56
Ge 0.0000 0.0000 0.0000  8 Pd 2.88
Pd 0.4086 0.4086 0.1827  1 Pd 2.63, 4 Ge 2.88, 4 Na 2.92
Pd 0.5914 0.5914 0.8173  1 Pd 2.63, 4 Ge 2.88, 4 Na 2.92

Results
space group: I4/mmm
DFT formation energy: 94 kJ/mol of formula units
relative energy among the computed polymorphs: 0.5048 eV/atom
D(E_F): 2.0 states/eV per cell

---

For each record above, in turn, the calculated raw total energy values are -7.221 -4.861 -4.384 -3.905 -9.561 -6.526 -6.978 -3.333 eV per atom.